[1]
# Rb2AgAs3Se6

An optimized crystal structure of Rb2AgAs3Se6 (GGA-PBE, Alexandria via LeMat-Bulk).

Cell: 8.035 13.101 18.551 Å, 53.00 90.00 90.00°
Element x y z (fractional)
Se: 0.095 0.280 0.914
As: 0.679 0.879 0.997
Ag: 0.011 0.476 0.427
As: 0.953 0.170 0.859
Se: 0.941 0.252 0.460
Se: 0.297 0.124 0.303
Rb: 0.864 0.215 0.112
Rb: 0.896 0.585 0.762
Rb: 0.136 0.785 0.888
Se: 0.323 0.655 0.774
Ag: 0.989 0.524 0.573
Se: 0.797 0.876 0.197
As: 0.179 0.121 0.503
Se: 0.703 0.876 0.697
Se: 0.238 0.414 0.054
Se: 0.738 0.586 0.446
Se: 0.559 0.252 0.960
Rb: 0.364 0.785 0.388
Se: 0.059 0.748 0.540
Ag: 0.489 0.476 0.927
As: 0.906 0.774 0.351
Se: 0.177 0.655 0.274
Rb: 0.636 0.215 0.612
Se: 0.262 0.414 0.554
As: 0.321 0.121 0.003
Se: 0.248 0.058 0.655
As: 0.453 0.830 0.641
As: 0.094 0.226 0.649
Se: 0.748 0.942 0.845
Se: 0.595 0.720 0.586
Se: 0.905 0.720 0.086
Se: 0.823 0.345 0.726
As: 0.406 0.226 0.149
Se: 0.762 0.586 0.946
Se: 0.441 0.748 0.040
Ag: 0.511 0.524 0.073
As: 0.821 0.879 0.497
Rb: 0.104 0.415 0.238
Se: 0.677 0.345 0.226
As: 0.594 0.774 0.851
As: 0.547 0.170 0.359
Rb: 0.396 0.415 0.738
Se: 0.405 0.280 0.414
Se: 0.203 0.124 0.803
Rb: 0.604 0.585 0.262
Se: 0.252 0.058 0.155
As: 0.047 0.830 0.141
Se: 0.752 0.942 0.345

Output
Space-group type: P2_1/c, No. 14
Total DFT energy (no corrections): -3.78 eV per atom
Uncorrected formation energy: -550 kJ/mol of formula units

=====

[2]
# Li5Ho3

An optimized crystal structure of Li5Ho3 (GGA-PBE, Alexandria via LeMat-Bulk).

Cell: 3.533 3.533 15.594 Å, 90.00 90.00 90.05°
Element x y z (fractional)
Li: 0.500 0.500 0.705
Li: 0.000 0.000 0.394
Ho: 0.000 0.000 0.844
Li: 0.000 0.000 0.606
Ho: 0.000 0.000 0.156
Li: 0.500 0.500 0.295
Ho: 0.500 0.500 0.000
Li: 0.500 0.500 0.500

Output
Space-group type: P4/mmm, No. 123
Total DFT energy (no corrections): -2.87 eV per atom
Formation energy from the elements: 0.05 eV/atom

=====

[3]
# Be2CdF6

An optimized crystal structure of Be2CdF6 (GGA-PBE, Alexandria via LeMat-Bulk).

Cell: 4.719 8.046 8.046 Å, 90.86 107.08 107.08°
Element x y z (fractional)
F: 0.880 0.292 0.209
Cd: 0.750 0.250 0.750
F: 0.858 0.730 0.021
F: 0.120 0.708 0.791
F: 0.642 0.979 0.270
Be: 0.795 0.675 0.825
F: 0.106 0.771 0.478
F: 0.894 0.229 0.522
F: 0.620 0.791 0.708
Cd: 0.250 0.750 0.250
F: 0.358 0.021 0.730
F: 0.394 0.522 0.229
F: 0.142 0.270 0.979
Be: 0.295 0.825 0.675
Be: 0.205 0.325 0.175
F: 0.606 0.478 0.771
Be: 0.705 0.175 0.325
F: 0.380 0.209 0.292

Output
Space-group type: C2/c, No. 15
Total DFT energy (no corrections): -5.04 eV per atom
Uncorrected formation energy: -2485 kJ/mol of formula units
Excess energy over the best structure of this formula in the dataset: 31.7 meV/atom

=====

[4]
# FeRuRh2

An optimized crystal structure of FeRuRh2 (GGA-PBE, Alexandria via LeMat-Bulk).

Cell: 2.780 4.494 4.488 Å, 90.00 90.00 90.00°
Each line ends with the local moment (μB).
Element x y z (fractional)
Ru: 0.500 0.000 0.500  0.72
Fe: 0.000 0.500 0.500  2.92
Rh: 0.000 0.000 0.000  0.23
Rh: 0.500 0.500 0.000  0.39

Output
Space-group type: Pmmm, No. 47
Total DFT energy (no corrections): -7.87 eV per atom
Formation energy from the elements: 0.24 eV/atom

=====

[5]
# PrSmEr2

An optimized crystal structure of PrSmEr2 (GGA-PBE, Alexandria via LeMat-Bulk).

Cell: 3.598 3.598 10.096 Å, 90.00 90.00 90.00°
Element x y z (fractional)
Sm: 0.500 0.500 0.000
Pr: 0.500 0.500 0.500
Er: 0.000 0.000 0.247
Er: 0.000 0.000 0.753

Output
Space-group type: P4/mmm, No. 123
Total DFT energy (no corrections): -4.63 eV per atom
Excess energy over the best structure of this formula in the dataset: 7.1 meV/atom
Formation energy from the elements: 0.02 eV/atom

=====

[6]
# InSnMo

An optimized crystal structure of InSnMo (GGA-PBE, Alexandria via LeMat-Bulk).

Cell: 5.670 5.618 9.781 Å, 81.59 73.15 59.69°
Element x y z (fractional)
Sn: 0.916 0.168 0.500
Sn: 0.834 0.332 0.000
Mo: 0.623 0.500 0.754
In: 0.339 0.500 0.321
Mo: 0.127 0.000 0.746
Sn: 0.584 0.832 0.500
Sn: 0.166 0.668 0.000
In: 0.161 0.500 0.679
Mo: 0.873 0.000 0.254
In: 0.589 0.000 0.821
Mo: 0.877 0.500 0.246
In: 0.411 0.000 0.179

Output
Space-group type: Fddd, No. 70
Total DFT energy (no corrections): -5.77 eV per atom
Formation energy from the elements: 0.08 eV/atom

=====

[7]
# Sm2ZnSi4Ni3

An optimized crystal structure of Sm2ZnSi4Ni3 (GGA-PBE, Alexandria via LeMat-Bulk).

Cell: 4.038 4.038 9.728 Å, 90.00 90.00 90.00°
Element x y z (fractional)
Zn: 0.500 0.500 0.500
Sm: 0.000 0.500 0.756
Si: 0.500 0.000 0.643
Si: 0.000 0.000 0.000
Ni: 0.500 0.000 0.882
Ni: 0.000 0.000 0.500
Sm: 0.500 0.000 0.244
Ni: 0.000 0.500 0.118
Si: 0.000 0.500 0.357
Si: 0.500 0.500 0.000

Output
Space-group type: P-4m2, No. 115
Total DFT energy (no corrections): -5.73 eV per atom
Uncorrected formation energy: -725 kJ/mol of formula units

=====

[8]
# BaAlAs2Se

An optimized crystal structure of BaAlAs2Se (GGA-PBE, Alexandria via LeMat-Bulk).

Cell: 4.964 4.964 5.280 Å, 90.00 90.00 90.00°
Element x y z (fractional)
As: 0.000 0.500 0.000
Ba: 0.500 0.500 0.500
Se: 0.000 0.000 0.500
As: 0.500 0.000 0.000
Al: 0.000 0.000 0.000

Output
Space-group type: P4/mmm, No. 123
Total DFT energy (no corrections): -4.20 eV per atom
Uncorrected formation energy: -246 kJ/mol of formula units
Excess energy over the best structure of this formula in the dataset: 0.0 meV/atom

=====

[9]
# Zn2CuPt

An optimized crystal structure of Zn2CuPt (GGA-PBE, Alexandria via LeMat-Bulk).

Cell: 2.914 2.914 6.549 Å, 90.00 90.00 89.99°
Element x y z (fractional)
Cu: 0.500 0.500 0.250
Zn: 0.000 0.000 0.011
Pt: 0.500 0.500 0.750
Zn: 0.000 0.000 0.489

Output
Space-group type: P4/mmm, No. 123
Total DFT energy (no corrections): -3.48 eV per atom
Formation energy from the elements: -0.31 eV/atom

=====

[10]
# UPtS2

An optimized crystal structure of UPtS2 (GGA-PBE, Alexandria via LeMat-Bulk).

Cell: 3.456 3.456 8.450 Å, 78.20 78.20 60.00°
Each line ends with the local moment (μB).
Element x y z (fractional)
U: 0.000 0.000 0.000  2.72
Pt: 0.500 0.500 0.500  0.02
S: 0.888 0.888 0.335  -0.01
S: 0.112 0.112 0.665  -0.01

Output
Space-group type: R-3m, No. 166
Total DFT energy (no corrections): -6.42 eV per atom
Uncorrected formation energy: -9 kJ/mol of formula units

=====

[11]
# Cs4SbO5

An optimized crystal structure of Cs4SbO5 (GGA-PBE, Alexandria via LeMat-Bulk).

Cell: 7.396 7.396 7.396 Å, 106.39 106.39 115.83°
Each line ends with the local moment (μB).
Element x y z (fractional)
O: 0.139 0.007 0.281  0.22
Cs: 0.682 0.254 0.808  0.00
O: 0.858 0.139 0.132  0.22
O: 0.007 0.726 0.868  0.22
O: 0.628 0.628 0.000  0.02
Cs: 0.254 0.446 0.572  0.00
O: 0.726 0.858 0.719  0.22
Cs: 0.446 0.874 0.192  0.00
Cs: 0.874 0.682 0.428  0.00
Sb: 0.875 0.875 0.000  -0.02

Output
Space-group type: I4, No. 79
Total DFT energy (no corrections): -4.55 eV per atom
Uncorrected formation energy: -1276 kJ/mol of formula units

=====

[12]
# ZnTcPt4

An optimized crystal structure of ZnTcPt4 (GGA-PBE, Alexandria via LeMat-Bulk).

Cell: 5.244 5.244 5.244 Å, 60.00 60.00 60.00°
Each line ends with the local moment (μB).
Element x y z (fractional)
Pt: 0.625 0.625 0.125  0.05
Zn: 0.000 0.000 0.000  -0.04
Pt: 0.125 0.625 0.625  0.05
Pt: 0.625 0.125 0.625  0.05
Pt: 0.625 0.625 0.625  0.05
Tc: 0.250 0.250 0.250  2.81

Output
Space-group type: F-43m, No. 216
Total DFT energy (no corrections): -5.76 eV per atom
Excess energy over the best structure of this formula in the dataset: 504.4 meV/atom
Formation energy from the elements: 0.20 eV/atom